Record 1
# K3Sr | Alexandria via LeMat-Bulk | PBEsol | relaxed
data_K3Sr
_cell_length_a 4.400
_cell_length_b 7.413
_cell_length_c 7.894
_cell_angle_alpha 90.00
_cell_angle_beta 90.00
_cell_angle_gamma 90.00
_symmetry_space_group_name_H-M 'P m m 2'
_symmetry_Int_Tables_number 25
loop_
_symmetry_equiv_pos_as_xyz
'x,y,z'
'-x,-y,z'
'-x,y,z'
'x,-y,z'
loop_
_atom_site_label
_atom_site_fract_x
_atom_site_fract_y
_atom_site_fract_z
K1 0.000 0.000 0.000
K2 0.000 0.500 0.328
K3 0.500 0.000 0.510
Sr1 0.500 0.500 0.829
# Distance to the lowest polymorph of the same formula (eV/atom): 0.034
# Fermi-level density of states (states/eV/cell): 3.697
# Calculated density (g/cm3): 1.32
# Formation energy (eV per atom): 0.0928
# Size of the total moment (Bohr magnetons per cell): 0.00
# E (eV/atom): -1.22

***

Record 2
# YPOs | Alexandria via LeMat-Bulk | PBEsol | relaxed
data_YPOs
_cell_length_a 6.296
_cell_length_b 6.296
_cell_length_c 6.296
_cell_angle_alpha 90.00
_cell_angle_beta 90.00
_cell_angle_gamma 90.00
_symmetry_space_group_name_H-M 'F -4 3 m'
_symmetry_Int_Tables_number 216
_symmetry_space_group_name_Hall 'F -4 2 3'
loop_
_atom_site_label
_atom_site_fract_x
_atom_site_fract_y
_atom_site_fract_z
Y1 0.000 0.000 0.000
P1 0.250 0.250 0.250
Os1 0.250 0.250 0.750
# Fermi-level density of states (states/eV/cell): 8.189
# Calculated density (g/cm3): 8.25
# Formation energy (eV per atom): 0.7288
# Size of the total moment (Bohr magnetons per cell): 0.00
# E (eV/atom): -7.55

***

Record 3
# Mo2RuBr | Alexandria via LeMat-Bulk | PBEsol | relaxed
data_Mo2RuBr
_cell_length_a 9.593
_cell_length_b 2.989
_cell_length_c 4.391
_cell_angle_alpha 90.00
_cell_angle_beta 93.06
_cell_angle_gamma 90.00
_symmetry_space_group_name_H-M 'C 1 2/m 1'
_symmetry_Int_Tables_number 12
loop_
_symmetry_equiv_pos_as_xyz
'x,y,z'
'-x,-y,-z'
'-x,y,-z'
'x,-y,z'
'x+1/2,y+1/2,z'
'-x+1/2,-y+1/2,-z'
'-x+1/2,y+1/2,-z'
'x+1/2,-y+1/2,z'
loop_
_atom_site_label
_atom_site_fract_x
_atom_site_fract_y
_atom_site_fract_z
Mo1 0.226 0.000 0.221
Ru1 0.000 0.500 0.000
Br1 0.000 0.000 0.500
# Distance to the lowest polymorph of the same formula (eV/atom): 0.040
# Fermi-level density of states (states/eV/cell): 6.534
# ΔE_f (raw) (eV/atom): 0.66
# Calculated density (g/cm3): 9.85
# Size of the total moment (Bohr magnetons per cell): 0.00
# E (eV/atom): -8.24

***

Record 4
# KBe2Al | Alexandria via LeMat-Bulk | PBEsol | relaxed
data_KBe2Al
_cell_length_a 2.906
_cell_length_b 2.906
_cell_length_c 7.904
_cell_angle_alpha 90.00
_cell_angle_beta 90.00
_cell_angle_gamma 90.00
_symmetry_space_group_name_H-M 'P 4 m m'
_symmetry_Int_Tables_number 99
loop_
_symmetry_equiv_pos_as_xyz
'x,y,z'
'-y,x,z'
'-x,-y,z'
'y,-x,z'
'-x,y,z'
'y,x,z'
'x,-y,z'
'-y,-x,z'
loop_
_atom_site_label
_atom_site_fract_x
_atom_site_fract_y
_atom_site_fract_z
K1 0.000 0.000 0.000
Be1 0.000 0.000 0.566
Be2 0.500 0.500 0.668
Al1 0.500 0.500 0.355
# Fermi-level density of states (states/eV/cell): 1.635
# Calculated density (g/cm3): 2.09
# Formation energy (eV per atom): 0.5353
# Size of the total moment (Bohr magnetons per cell): 0.00
# E (eV/atom): -2.77

***

Record 5
# Tm3In | Alexandria via LeMat-Bulk | PBEsol | relaxed
data_Tm3In
_cell_length_a 4.690
_cell_length_b 4.690
_cell_length_c 4.690
_cell_angle_alpha 90.00
_cell_angle_beta 90.00
_cell_angle_gamma 90.00
_symmetry_space_group_name_H-M 'P m -3 m'
_symmetry_Int_Tables_number 221
_symmetry_space_group_name_Hall '-P 4 2 3'
loop_
_atom_site_label
_atom_site_fract_x
_atom_site_fract_y
_atom_site_fract_z
Tm1 0.000 0.000 0.500
In1 0.500 0.500 0.500
# Fermi-level density of states (states/eV/cell): 4.574
# Calculated density (g/cm3): 10.01
# Formation energy (eV per atom): -0.2960
# Size of the total moment (Bohr magnetons per cell): 0.00
# E (eV/atom): -4.72

***

Record 6
# Sb2AsBr | Alexandria via LeMat-Bulk | PBEsol | relaxed
data_Sb2AsBr
_cell_length_a 11.079
_cell_length_b 3.769
_cell_length_c 6.618
_cell_angle_alpha 90.00
_cell_angle_beta 103.76
_cell_angle_gamma 90.00
_symmetry_space_group_name_H-M 'C 1 m 1'
_symmetry_Int_Tables_number 8
loop_
_symmetry_equiv_pos_as_xyz
'x,y,z'
'x,-y,z'
'x+1/2,y+1/2,z'
'x+1/2,-y+1/2,z'
loop_
_atom_site_label
_atom_site_fract_x
_atom_site_fract_y
_atom_site_fract_z
Sb1 0.000 0.000 0.000
Sb2 0.181 0.500 0.322
As1 0.241 0.000 0.073
Br1 0.445 0.000 0.665
# Distance to the lowest polymorph of the same formula (eV/atom): 0.005
# ΔE_f (raw) (eV/atom): 0.01
# Calculated density (g/cm3): 4.93
# Size of the total moment (Bohr magnetons per cell): 0.00
# E (eV/atom): -4.02

***

Record 7
# BeIr | Alexandria via LeMat-Bulk | PBEsol | relaxed
data_BeIr
_cell_length_a 8.476
_cell_length_b 2.734
_cell_length_c 5.880
_cell_angle_alpha 90.00
_cell_angle_beta 100.11
_cell_angle_gamma 90.00
_symmetry_space_group_name_H-M 'C 1 m 1'
_symmetry_Int_Tables_number 8
loop_
_symmetry_equiv_pos_as_xyz
'x,y,z'
'x,-y,z'
'x+1/2,y+1/2,z'
'x+1/2,-y+1/2,z'
loop_
_atom_site_label
_atom_site_fract_x
_atom_site_fract_y
_atom_site_fract_z
Be1 0.000 0.000 0.000
Be2 0.093 0.000 0.630
Be3 0.345 0.000 0.233
Ir1 0.123 0.500 0.327
Ir2 0.224 0.500 0.923
Ir3 0.378 0.000 0.635
# Fermi-level density of states (states/eV/cell): 7.293
# Calculated density (g/cm3): 14.95
# Formation energy (eV per atom): -0.3487
# Size of the total moment (Bohr magnetons per cell): 0.00
# E (eV/atom): -7.26

***

Record 8
# TlTc2Sb | Alexandria via LeMat-Bulk | PBEsol | relaxed
data_TlTc2Sb
_cell_length_a 3.208
_cell_length_b 5.225
_cell_length_c 8.663
_cell_angle_alpha 90.00
_cell_angle_beta 90.00
_cell_angle_gamma 90.00
_symmetry_space_group_name_H-M 'C m m m'
_symmetry_Int_Tables_number 65
_symmetry_space_group_name_Hall '-C 2 2'
loop_
_atom_site_label
_atom_site_fract_x
_atom_site_fract_y
_atom_site_fract_z
Tl1 0.000 0.000 0.000
Tc1 0.000 0.500 0.265
Sb1 0.000 0.000 0.500
# Distance to the lowest polymorph of the same formula (eV/atom): 0.000
# Fermi-level density of states (states/eV/cell): 7.665
# ΔE_f (raw) (eV/atom): 0.69
# Calculated density (g/cm3): 11.94
# Size of the total moment (Bohr magnetons per cell): 0.00
# E (eV/atom): -6.74